[1]
First-principles (meta-GGA SCAN) data for NaSr7Cu8S8F8 at its PBEsol-relaxed geometry, as listed in Alexandria.

```
32
Lattice="-2.802 1.638 -7.059 -3.527 -6.920 -0.206 -6.994 3.458 3.579" Properties=species:S:1:pos:R:3 pbc="T T T"
Na -6.785 3.355 3.472
Sr -8.012 -2.487 0.479
Sr -1.414 0.826 -3.523
Sr -3.209 -2.619 -3.610
Sr -9.422 -1.663 -3.073
Sr -7.648 1.819 -2.970
Sr -1.777 -3.453 -0.096
Sr -6.238 0.995 0.583
Cu -6.198 -1.078 -4.194
Cu -4.623 0.236 -2.386
Cu -4.959 -4.058 1.027
Cu -6.378 -3.208 -2.489
Cu -3.006 1.549 -0.573
Cu -4.415 2.373 -4.123
Cu -4.803 -1.894 -0.681
Cu -3.186 -0.578 1.130
S -5.976 -3.344 -4.808
S -3.426 1.694 1.753
S -2.826 -0.715 -1.192
S -5.197 -1.762 1.654
S -6.629 -0.928 -1.860
S -4.834 2.517 -1.773
S -4.221 0.101 -4.706
S -4.581 -4.160 -1.294
F -9.878 -1.471 -0.696
F -7.904 4.097 -2.298
F -6.522 3.288 1.186
F -8.446 -2.294 2.820
F -8.128 1.962 -0.594
F -8.308 -0.161 1.106
F -6.705 1.121 2.922
F -9.698 0.652 -2.396
```

Values from the calculation:
formation energy without anion corrections = -2.189 eV/atom
space group = No. 99
Fermi-level density of states = 7.8 states/eV/cell

---

[2]
First-principles (meta-GGA SCAN) data for Na2ScCuF7 at its PBEsol-relaxed geometry, as listed in Alexandria.

```
44
Lattice="-0.824 3.208 6.437 0.798 -6.616 3.400 10.027 1.488 0.542" Properties=species:S:1:pos:R:3 pbc="T T T"
Na 0.399 -3.308 1.700
Na -0.013 -1.704 4.918
Na 5.013 0.744 0.271
Na 4.601 2.348 3.490
Na 7.595 0.431 2.793
Na 2.619 -0.618 2.679
Na 7.382 -1.302 7.700
Na 2.405 -2.352 7.586
Sc 8.189 -3.011 4.585
Sc 6.827 1.819 6.073
Sc 1.812 1.091 5.794
Sc 3.173 -3.739 4.305
Cu 5.000 -0.960 5.189
Cu 5.412 -2.564 1.971
Cu -0.412 1.604 3.218
Cu 0.000 0.000 0.000
F 6.055 0.756 4.477
F 4.356 -4.274 2.695
F 8.989 -2.182 6.302
F 0.601 1.860 7.283
F 3.945 -2.676 5.902
F 5.644 2.354 7.683
F 1.012 0.262 4.077
F 9.400 -3.781 3.095
F 6.593 -1.976 5.428
F 3.091 1.288 7.423
F 8.273 2.027 4.591
F 2.044 -5.179 3.315
F 3.408 0.055 4.951
F 6.909 -3.208 2.955
F 1.727 -3.947 5.787
F 7.956 3.259 7.064
F 9.836 -4.393 5.484
F 0.164 2.472 4.895
F 5.565 0.006 6.815
F 4.435 -1.926 3.563
F 7.133 -4.576 5.230
F 2.867 2.656 5.149
F 8.217 0.617 6.851
F 1.784 -2.537 3.528
F 8.793 -1.234 3.776
F 1.208 -0.686 6.602
F 5.823 3.357 5.178
F 4.177 -5.278 5.201
```

Values from the calculation:
formation energy without anion corrections = -3.120 eV/atom
space group = No. 62

---

[3]
First-principles (meta-GGA SCAN) data for NaCuTcF2 at its PBEsol-relaxed geometry, as listed in Alexandria.

```
5
Lattice="-2.846 1.346 2.431 0.909 -2.837 2.635 4.182 3.889 2.745" Properties=species:S:1:pos:R:3 pbc="T T T"
Na 2.091 1.944 1.372
Tc 0.000 0.000 0.000
Cu 1.123 1.199 3.905
F 0.454 -1.419 1.318
F -1.423 0.673 1.215
```

Values from the calculation:
formation energy without anion corrections = -0.443 eV/atom
space group = No. 123
Fermi-level density of states = 0.7 states/eV/cell

---

[4]
First-principles (meta-GGA SCAN) data for NbCuO3F at its PBEsol-relaxed geometry, as listed in Alexandria.

```
12
Lattice="-1.800 0.437 -3.326 -5.583 -2.714 2.208 -4.537 4.470 1.856" Properties=species:S:1:pos:R:3 pbc="T T T"
Nb -6.421 -1.070 -0.420
Nb -5.501 3.263 1.158
Cu -3.967 1.391 -1.290
Cu -7.954 0.802 2.028
O -5.592 -1.849 1.211
O -6.330 4.042 -0.473
O -3.939 2.534 0.286
O -6.506 1.810 1.484
O -7.982 -0.341 0.452
O -5.416 0.383 -0.746
F -2.328 0.094 0.265
F -9.593 2.100 0.473
```

Values from the calculation:
formation energy without anion corrections = -2.206 eV/atom
space group = No. 2

---

[5]
First-principles (meta-GGA SCAN) data for CuNiOF2 at its PBEsol-relaxed geometry, as listed in Alexandria.

```
5
Lattice="3.754 0.000 0.000 0.000 3.754 0.000 0.000 0.000 3.831" Properties=species:S:1:pos:R:3 pbc="T T T"
Ni 1.877 1.877 1.916
O 0.000 0.000 1.916
Cu 0.000 0.000 0.000
F 0.000 1.877 0.000
F 1.877 0.000 0.000
```

Values from the calculation:
formation energy without anion corrections = -0.835 eV/atom
space group = No. 123
Fermi-level density of states = 2.9 states/eV/cell

---

[6]
First-principles (meta-GGA SCAN) data for YCuNi2F at its PBEsol-relaxed geometry, as listed in Alexandria.

```
5
Lattice="4.114 0.000 0.000 0.000 4.114 0.000 0.000 0.000 4.265" Properties=species:S:1:pos:R:3 pbc="T T T"
Y 0.000 0.000 2.132
Ni 0.000 2.057 0.000
Ni 2.057 0.000 0.000
Cu 2.057 2.057 2.132
F 0.000 0.000 0.000
```

Values from the calculation:
formation energy without anion corrections = -0.224 eV/atom
space group = No. 123
Fermi-level density of states = 3.7 states/eV/cell

---

[7]
First-principles (meta-GGA SCAN) data for Cu2O2F at its PBEsol-relaxed geometry, as listed in Alexandria.

```
5
Lattice="-0.282 -3.622 -0.488 3.584 -0.178 -0.747 -0.669 1.165 5.505" Properties=species:S:1:pos:R:3 pbc="T T T"
O 2.283 -0.456 2.070
O 0.350 -2.178 2.200
Cu 0.376 -0.281 1.873
Cu 2.257 -2.353 2.398
F 0.000 0.000 0.000
```

Values from the calculation:
formation energy without anion corrections = -0.842 eV/atom
space group = No. 139
Fermi-level density of states = 3.2 states/eV/cell

---

[8]
First-principles (meta-GGA SCAN) data for Rb2Cu3P4O12F4 at its PBEsol-relaxed geometry, as listed in Alexandria.

```
50
Lattice="7.784 0.036 0.000 -0.829 9.184 0.000 0.000 0.000 9.472" Properties=species:S:1:pos:R:3 pbc="T T T"
Rb 4.697 1.740 4.348
Rb 2.672 2.888 9.084
Rb 2.258 7.480 5.124
Rb 4.283 6.332 0.388
Cu 0.725 1.706 3.347
Cu 6.645 2.922 8.083
Cu 6.230 7.514 6.125
Cu 0.310 6.299 1.389
Cu -0.415 4.592 4.736
Cu 0.000 0.000 0.000
P 6.227 8.213 2.954
P 0.314 5.599 7.690
P 0.729 1.007 6.518
P 6.641 3.621 1.782
P 1.620 9.020 1.746
P 4.921 4.793 6.482
P 5.335 0.201 7.726
P 2.034 4.427 2.990
O 7.002 0.530 3.197
O 0.367 4.098 7.933
O -0.047 8.691 6.274
O 6.588 5.122 1.538
O 2.021 0.235 3.162
O 5.349 4.393 7.898
O 4.934 8.985 6.310
O 1.606 4.827 1.574
O 5.129 1.703 7.883
O 2.241 2.925 3.147
O 1.826 7.517 1.589
O 4.714 6.295 6.325
O 7.225 3.303 3.196
O 0.145 1.325 7.932
O -0.270 5.918 6.276
O 6.810 7.895 1.540
O 5.682 4.094 5.360
O 1.687 0.534 0.624
O 1.273 5.126 4.112
O 5.268 8.687 8.848
O 0.212 1.937 5.467
O 7.157 2.691 0.731
O 6.743 7.283 4.005
O -0.202 6.529 8.741
F 4.667 7.862 2.806
F 1.874 5.950 7.542
F 2.288 1.358 6.666
F 5.081 3.270 1.930
F 3.901 0.454 1.573
F 3.469 4.174 6.309
F 3.054 8.766 7.899
F 3.486 5.047 3.163
```

Values from the calculation:
formation energy without anion corrections = -2.226 eV/atom
space group = No. 14

---

[9]
First-principles (meta-GGA SCAN) data for CuPbO2F at its PBEsol-relaxed geometry, as listed in Alexandria.

```
5
Lattice="4.160 0.000 0.000 0.000 4.160 0.000 0.000 0.000 4.311" Properties=species:S:1:pos:R:3 pbc="T T T"
Pb 0.000 0.000 0.000
O 0.000 2.080 0.000
O 2.080 0.000 0.000
Cu 2.080 2.080 2.155
F 0.000 0.000 2.155
```

Values from the calculation:
formation energy without anion corrections = -0.435 eV/atom
space group = No. 123
Fermi-level density of states = 4.1 states/eV/cell

---

[10]
First-principles (meta-GGA SCAN) data for CuPdO2F at its PBEsol-relaxed geometry, as listed in Alexandria.

```
5
Lattice="3.649 0.000 0.000 0.000 3.795 0.000 0.000 0.000 3.795" Properties=species:S:1:pos:R:3 pbc="T T T"
O 0.000 0.000 1.897
O 0.000 1.897 0.000
Cu 0.000 0.000 0.000
Pd 1.825 1.897 1.897
F 1.825 0.000 0.000
```

Values from the calculation:
formation energy without anion corrections = -0.230 eV/atom
space group = No. 123
Fermi-level density of states = 4.4 states/eV/cell

---

[11]
First-principles (meta-GGA SCAN) data for CuPtOF2 at its PBEsol-relaxed geometry, as listed in Alexandria.

```
5
Lattice="3.660 0.000 0.000 0.000 3.660 0.000 0.000 0.000 4.246" Properties=species:S:1:pos:R:3 pbc="T T T"
O 0.000 0.000 2.123
Cu 0.000 0.000 0.000
Pt 1.830 1.830 2.123
F 0.000 1.830 0.000
F 1.830 0.000 0.000
```

Values from the calculation:
formation energy without anion corrections = -0.326 eV/atom
space group = No. 123
Fermi-level density of states = 2.8 states/eV/cell

---

[12]
First-principles (meta-GGA SCAN) data for RbCuOF2 at its PBEsol-relaxed geometry, as listed in Alexandria.

```
5
Lattice="4.394 0.000 0.000 0.000 4.758 0.000 0.000 0.000 4.758" Properties=species:S:1:pos:R:3 pbc="T T T"
O 2.197 0.000 0.000
Cu 2.197 2.379 2.379
Rb 0.000 0.000 0.000
F 0.000 0.000 2.379
F 0.000 2.379 0.000
```

Values from the calculation:
formation energy without anion corrections = 0.051 eV/atom
space group = No. 123
Fermi-level density of states = 5.3 states/eV/cell

---

> What is the formula in the third record?

NaCuTcF2